1.
A geometry-optimized TaCd2Ir structure, computed with GGA-PBE.

Lattice parameters (Å, degrees): 10.1649 10.1649 10.1649 16.62 16.62 16.62
Fractional coordinates of all 4 atoms:
Cd (0.0044, 0.0044, 0.0044)
Cd (0.2425, 0.2425, 0.2425)
Ir (0.4946, 0.4946, 0.4946)
Ta (0.7585, 0.7585, 0.7585)

Results
E, eV per cell: -22.540
Space group: No. 160
Energy above the lowest structure with this stoichiometry, meV per atom: 99

---

2.
A geometry-optimized TaCd2Ir structure, computed with GGA-PBE.

Lattice parameters (Å, degrees): 7.7741 7.7741 6.1041 50.45 50.45 90.00
Fractional coordinates of all 8 atoms:
Cd (0.3750, 0.3534, 0.7500)
Cd (0.6466, 0.1250, 0.2500)
Cd (0.8750, 0.8966, 0.7500)
Cd (0.1034, 0.6250, 0.2500)
Ta (0.2500, 0.7500, 0.5000)
Ta (0.5000, 0.5000, 0.0000)
Ir (0.7500, 0.2500, 0.5000)
Ir (0.0000, 0.0000, 0.0000)

Results
E, eV per cell: -39.593
Space group: No. 122
Energy above the lowest structure with this stoichiometry, meV per atom: 785

---

3.
A geometry-optimized TaCdIr2 structure, computed with GGA-PBE.

Lattice parameters (Å, degrees): 4.2042 2.8730 6.2147 62.19 90.00 90.00
Fractional coordinates of all 4 atoms:
Ir (0.0000, 0.0147, 0.9845)
Ir (0.5000, 0.2311, 0.2712)
Ta (0.0000, 0.5254, 0.4738)
Cd (0.5000, 0.7288, 0.7705)

Results
E, eV per cell: -30.714
Space group: No. 6

---

4.
A geometry-optimized TaCdIr2 structure, computed with GGA-PBE.

Lattice parameters (Å, degrees): 4.7295 4.7295 4.7295 126.91 126.88 78.43
Fractional coordinates of all 4 atoms:
Ir (0.5000, 0.5000, 0.0000)
Ir (0.0000, 0.0000, 0.0000)
Cd (0.7500, 0.2500, 0.5000)
Ta (0.2500, 0.7500, 0.5000)

Results
E, eV per cell: -31.645
Space group: No. 139

---

5.
A geometry-optimized TaCd2Ir structure, computed with GGA-PBE.

Lattice parameters (Å, degrees): 4.8639 4.8639 3.0603 90.00 90.00 90.00
Fractional coordinates of all 4 atoms:
Cd (0.5000, 0.5000, 0.0000)
Cd (0.0000, 0.0000, 0.0000)
Ir (0.5000, 0.0000, 0.5000)
Ta (0.0000, 0.5000, 0.5000)

Results
E, eV per cell: -20.267
Space group: No. 123
Energy above the lowest structure with this stoichiometry, meV per atom: 668

---

6.
A geometry-optimized TaCd3Ir structure, computed with GGA-PBE.

Lattice parameters (Å, degrees): 5.2435 5.2435 5.2435 90.00 90.00 90.00
Fractional coordinates of all 5 atoms:
Cd (0.0000, 0.5000, 0.0000)
Cd (0.0000, 0.0000, 0.5000)
Cd (0.5000, 0.0000, 0.0000)
Ta (0.0000, 0.0000, 0.0000)
Ir (0.5000, 0.5000, 0.5000)

Results
E, eV per cell: -13.316
Space group: No. 221
Energy above the lowest structure with this stoichiometry, meV per atom: 670

---

Q: Look up the E of the fifth one.
A: -20.267 eV per cell

---

Q: Which of these has the lowest E?
A: number 2

---

Repeat the fifth record exactly.
A geometry-optimized TaCd2Ir structure, computed with GGA-PBE.

Lattice parameters (Å, degrees): 4.8639 4.8639 3.0603 90.00 90.00 90.00
Fractional coordinates of all 4 atoms:
Cd (0.5000, 0.5000, 0.0000)
Cd (0.0000, 0.0000, 0.0000)
Ir (0.5000, 0.0000, 0.5000)
Ta (0.0000, 0.5000, 0.5000)

Results
E, eV per cell: -20.267
Space group: No. 123
Energy above the lowest structure with this stoichiometry, meV per atom: 668